Entry from the Alexandria database: RbAlTe3Au after structural relaxation (GGA-PBE).

Cell and atoms, written as CIF:
```
data_RbAlTe3Au
_chemical_formula_sum 'Rb4 Al4 Te12 Au4'
_cell_length_a 17.092
_cell_length_b 7.036
_cell_length_c 8.630
_cell_angle_alpha 90.00
_cell_angle_beta 92.43
_cell_angle_gamma 90.00
_space_group_name_H-M_alt 'C 1 2/m 1'
_space_group_IT_number 12
loop_
_space_group_symop_operation_xyz
'x,y,z'
'-x,-y,-z'
'-x,y,-z'
'x,-y,z'
'x+1/2,y+1/2,z'
'-x+1/2,-y+1/2,-z'
'-x+1/2,y+1/2,-z'
'x+1/2,-y+1/2,z'
loop_
_atom_site_label
_atom_site_type_symbol
_atom_site_fract_x
_atom_site_fract_y
_atom_site_fract_z
_atom_site_occupancy
Rb1 Rb 0.242 0.000 0.212 1
Al1 Al 0.060 0.000 0.770 1
Te1 Te 0.048 0.263 0.293 1
Te2 Te 0.204 0.000 0.766 1
Au1 Au 0.000 0.230 0.000 1
```

Properties
The calculation puts the density of states at the Fermi level at 4.91 states/eV/cell. Its crystal system is monoclinic. Its spin magnetization is 0.00 μB/cell. Its uncorrected formation energy is -0.411 eV/atom.